*P*
Computed, not measured: a relaxed structure of Ba4ZnAg2 at the PBE-GGA level of DFT.

The structure in extended XYZ format:
```
7
Lattice="-3.216 3.216 8.112 3.216 -3.216 8.112 3.216 3.216 -8.112" Properties=species:S:1:pos:R:3 pbc="T T T"
Ba 3.216 0.000 0.000
Ba 0.000 0.000 3.365
Ba 0.000 3.216 0.000
Ba 0.000 0.000 12.860
Zn 0.000 0.000 0.000
Ag 0.000 0.000 6.689
Ag 0.000 0.000 9.536
```

Output
Spin magnetization, μB/cell: 0.000
DOS(E_F), states/eV/cell: 4.76
Space-group type: I4/mmm

*Q*
Computed, not measured: a relaxed structure of Ba4ZnAg2 at the PBE-GGA level of DFT.

The structure in extended XYZ format:
```
7
Lattice="-4.105 4.105 4.126 4.105 -4.105 4.126 4.105 4.105 -4.126" Properties=species:S:1:pos:R:3 pbc="T T T"
Ba 2.052 2.052 -2.063
Ba 2.052 -2.052 2.063
Ba -2.052 2.052 2.063
Ba 2.052 2.052 2.063
Zn 0.000 0.000 0.000
Ag 4.105 0.000 0.000
Ag 0.000 4.105 0.000
```

Output
Spin magnetization, μB/cell: 0.000
DOS(E_F), states/eV/cell: 7.65
Space-group type: I4/mmm

Which of them is most stable? Easy: *Q*.

*P*
Computed, not measured: a relaxed structure of Ba3ZnAg at the PBE-GGA level of DFT.

The structure in extended XYZ format:
```
10
Lattice="9.669 -2.271 0.000 9.669 2.271 0.000 -1.330 0.000 9.887" Properties=species:S:1:pos:R:3 pbc="T T T"
Ba 0.000 0.000 0.000
Ba 2.628 0.000 3.536
Ba 5.617 0.000 7.086
Ba 9.628 0.000 6.104
Ba 12.625 0.000 9.666
Ba 16.590 0.000 3.300
Zn 2.264 0.000 7.061
Zn 12.974 0.000 6.150
Ag 7.035 0.000 0.730
Ag 9.556 0.000 2.572
```

Output
Spin magnetization, μB/cell: 0.000
DOS(E_F), states/eV/cell: 10.01
Space-group type: Cm

*Q*
Computed, not measured: a relaxed structure of Ba3ZnAg at the PBE-GGA level of DFT.

The structure in extended XYZ format:
```
5
Lattice="6.434 0.000 0.000 0.000 6.434 0.000 0.000 0.000 6.434" Properties=species:S:1:pos:R:3 pbc="T T T"
Ba 0.000 0.000 3.217
Ba 0.000 3.217 0.000
Ba 3.217 0.000 0.000
Zn 3.217 3.217 3.217
Ag 0.000 0.000 0.000
```

Output
Spin magnetization, μB/cell: 0.000
DOS(E_F), states/eV/cell: 3.88
Space-group type: Pm-3m

Which of them is most stable? Easy: *P*.

*P*
Computed, not measured: a relaxed structure of Ba4ZnAg at the PBE-GGA level of DFT.

The structure in extended XYZ format:
```
6
Lattice="0.000 5.193 5.193 5.193 0.000 5.193 5.193 5.193 0.000" Properties=species:S:1:pos:R:3 pbc="T T T"
Ba 1.299 1.299 1.299
Ba 3.895 3.895 1.299
Ba 3.895 1.299 3.895
Ba 1.299 3.895 3.895
Zn 7.790 7.790 7.790
Ag 5.193 5.193 5.193
```

Output
Spin magnetization, μB/cell: 0.014
DOS(E_F), states/eV/cell: 10.28
Space-group type: F-43m

*Q*
Computed, not measured: a relaxed structure of Ba4ZnAg at the PBE-GGA level of DFT.

The structure in extended XYZ format:
```
6
Lattice="4.188 0.000 0.000 0.000 4.188 0.000 0.000 0.000 14.963" Properties=species:S:1:pos:R:3 pbc="T T T"
Ba 0.000 0.000 1.915
Ba 0.000 0.000 13.048
Ba 2.094 2.094 5.527
Ba 2.094 2.094 9.436
Zn 2.094 2.094 0.000
Ag 0.000 0.000 7.482
```

Output
Spin magnetization, μB/cell: 0.000
DOS(E_F), states/eV/cell: 6.90
Space-group type: P4/mmm

*R*
Computed, not measured: a relaxed structure of Ba4ZnAg at the PBE-GGA level of DFT.

The structure in extended XYZ format:
```
6
Lattice="4.109 -4.109 0.000 4.109 4.109 0.000 -0.008 0.000 8.191" Properties=species:S:1:pos:R:3 pbc="T T T"
Ba 2.055 2.055 1.995
Ba 6.154 -2.055 6.196
Ba 2.055 -2.055 1.995
Ba 6.154 2.055 6.196
Zn 0.000 0.000 0.000
Ag 4.105 0.000 4.095
```

Output
Spin magnetization, μB/cell: 0.005
DOS(E_F), states/eV/cell: 8.58
Space-group type: C2/m

Which of them is most stable? Easy: *Q*.

*P*
Computed, not measured: a relaxed structure of BaZnAg3 at the PBE-GGA level of DFT.

The structure in extended XYZ format:
```
10
Lattice="6.880 0.000 0.000 -3.440 5.958 0.000 0.000 0.000 5.977" Properties=species:S:1:pos:R:3 pbc="T T T"
Ba 0.000 3.972 1.494
Ba 3.440 1.986 4.483
Zn 0.000 0.000 0.000
Zn 0.000 0.000 2.988
Ag 0.000 2.289 4.483
Ag -1.457 4.814 4.483
Ag 1.983 1.145 1.494
Ag 1.457 4.814 4.483
Ag 4.897 1.145 1.494
Ag 3.440 3.669 1.494
```

Output
Spin magnetization, μB/cell: 0.000
DOS(E_F), states/eV/cell: 4.43
Space-group type: P6_3/mmc

*Q*
Computed, not measured: a relaxed structure of BaZnAg3 at the PBE-GGA level of DFT.

The structure in extended XYZ format:
```
5
Lattice="6.334 0.000 0.000 0.000 6.334 0.000 0.000 0.000 6.334" Properties=species:S:1:pos:R:3 pbc="T T T"
Ba 0.000 0.000 0.000
Zn 3.167 3.167 3.167
Ag 0.000 0.000 3.167
Ag 0.000 3.167 0.000
Ag 3.167 0.000 0.000
```

Output
Spin magnetization, μB/cell: 0.005
DOS(E_F), states/eV/cell: 11.69
Space-group type: Pm-3m

*R*
Computed, not measured: a relaxed structure of BaZnAg3 at the PBE-GGA level of DFT.

The structure in extended XYZ format:
```
5
Lattice="5.095 0.000 0.000 0.000 5.095 0.000 0.000 0.000 5.095" Properties=species:S:1:pos:R:3 pbc="T T T"
Ba 0.000 0.000 0.000
Zn 2.547 2.547 2.547
Ag 0.000 2.547 2.547
Ag 2.547 0.000 2.547
Ag 2.547 2.547 0.000
```

Output
Spin magnetization, μB/cell: 0.000
DOS(E_F), states/eV/cell: 2.28
Space-group type: Pm-3m

Which of them is most stable? Easy: *P*.

*P*
Computed, not measured: a relaxed structure of BaZn3Ag3 at the PBE-GGA level of DFT.

The structure in extended XYZ format:
```
14
Lattice="7.202 0.000 0.000 0.000 7.202 0.000 0.000 0.000 7.202" Properties=species:S:1:pos:R:3 pbc="T T T"
Ba 0.000 0.000 0.000
Ba 3.601 3.601 3.601
Zn 0.000 1.801 3.601
Zn 0.000 5.402 3.601
Zn 1.801 3.601 0.000
Zn 3.601 0.000 1.801
Zn 3.601 0.000 5.402
Zn 5.402 3.601 0.000
Ag 0.000 3.601 1.801
Ag 0.000 3.601 5.402
Ag 1.801 0.000 3.601
Ag 3.601 1.801 0.000
Ag 3.601 5.402 0.000
Ag 5.402 0.000 3.601
```

Output
Spin magnetization, μB/cell: 0.000
DOS(E_F), states/eV/cell: 6.97
Space-group type: Pm-3n

*Q*
Computed, not measured: a relaxed structure of BaZn3Ag3 at the PBE-GGA level of DFT.

The structure in extended XYZ format:
```
14
Lattice="3.627 2.094 7.101 -3.627 2.094 7.101 0.000 -4.188 7.101" Properties=species:S:1:pos:R:3 pbc="T T T"
Ba 0.000 0.000 3.532
Ba 0.000 0.000 17.771
Zn -0.591 -2.122 6.261
Zn -1.542 1.572 6.261
Zn -2.133 -0.549 15.041
Zn 2.133 0.549 6.261
Zn 1.542 -1.572 15.041
Zn 0.591 2.122 15.041
Ag -0.855 -1.392 8.826
Ag -1.633 0.045 12.476
Ag -0.778 1.437 8.826
Ag 0.778 -1.437 12.476
Ag 1.633 -0.045 8.826
Ag 0.855 1.392 12.476
```

Output
Spin magnetization, μB/cell: 0.000
DOS(E_F), states/eV/cell: 7.70
Space-group type: R-3

Which of them is most stable? Easy: *Q*.

*P*
Computed, not measured: a relaxed structure of Ba2Zn2Ag3 at the PBE-GGA level of DFT.

The structure in extended XYZ format:
```
14
Lattice="2.342 -10.460 0.000 2.342 10.460 0.000 0.000 0.000 7.855" Properties=species:S:1:pos:R:3 pbc="T T T"
Ba 2.342 9.275 5.892
Ba 2.342 6.986 1.964
Ba 2.342 -6.986 5.892
Ba 2.342 -9.275 1.964
Zn 2.342 3.825 0.609
Zn 2.342 3.825 3.319
Zn 2.342 -3.825 4.536
Zn 2.342 -3.825 7.247
Ag 2.342 5.901 5.892
Ag 2.342 1.320 4.471
Ag 2.342 1.320 7.312
Ag 2.342 -1.320 0.543
Ag 2.342 -1.320 3.385
Ag 2.342 -5.901 1.964
```

Output
Spin magnetization, μB/cell: 0.000
DOS(E_F), states/eV/cell: 7.13
Space-group type: Cmcm

*Q*
Computed, not measured: a relaxed structure of Ba2Zn2Ag3 at the PBE-GGA level of DFT.

The structure in extended XYZ format:
```
7
Lattice="5.631 -2.433 0.000 5.631 2.433 0.000 -2.056 0.000 6.973" Properties=species:S:1:pos:R:3 pbc="T T T"
Ba 0.970 0.000 1.963
Ba 8.236 0.000 5.010
Zn 0.304 0.000 5.588
Zn 8.902 0.000 1.385
Ag 4.295 0.000 0.645
Ag 4.603 0.000 3.487
Ag 4.911 0.000 6.328
```

Output
Spin magnetization, μB/cell: 0.000
DOS(E_F), states/eV/cell: 3.98
Space-group type: C2/m

Which of them is most stable? Easy: *P*.

*P*
Computed, not measured: a relaxed structure of BaZrAg at the PBE-GGA level of DFT.

The structure in extended XYZ format:
```
3
Lattice="-1.839 1.839 6.716 1.839 -1.839 6.716 1.839 1.839 -6.716" Properties=species:S:1:pos:R:3 pbc="T T T"
Ba 0.000 0.000 0.000
Zr 0.000 0.000 9.603
Ag 0.000 0.000 4.159
```

Output
Spin magnetization, μB/cell: 0.519
DOS(E_F), states/eV/cell: 3.48
Space-group type: I4mm

*Q*
Computed, not measured: a relaxed structure of BaZrAg at the PBE-GGA level of DFT.

The structure in extended XYZ format:
```
3
Lattice="3.544 0.000 0.000 -1.772 3.069 0.000 0.000 0.000 8.014" Properties=species:S:1:pos:R:3 pbc="T T T"
Ba 0.000 0.000 0.000
Zr 1.772 1.023 3.071
Ag 0.000 2.046 5.180
```

Output
Spin magnetization, μB/cell: 0.000
DOS(E_F), states/eV/cell: 4.16
Space-group type: P3m1

*R*
Computed, not measured: a relaxed structure of BaZrAg at the PBE-GGA level of DFT.

The structure in extended XYZ format:
```
3
Lattice="0.000 3.726 3.726 3.726 0.000 3.726 3.726 3.726 0.000" Properties=species:S:1:pos:R:3 pbc="T T T"
Ba 0.000 0.000 0.000
Zr 3.726 3.726 3.726
Ag 1.863 1.863 1.863
```

Output
Spin magnetization, μB/cell: 2.659
DOS(E_F), states/eV/cell: 4.05
Space-group type: F-43m

Which of them is most stable? Easy: *P*.

*P*
Computed, not measured: a relaxed structure of BaZr3Ag at the PBE-GGA level of DFT.

The structure in extended XYZ format:
```
5
Lattice="5.285 0.000 0.000 0.000 5.285 0.000 0.000 0.000 5.285" Properties=species:S:1:pos:R:3 pbc="T T T"
Ba 0.000 0.000 0.000
Zr 0.000 0.000 2.643
Zr 0.000 2.643 0.000
Zr 2.643 0.000 0.000
Ag 2.643 2.643 2.643
```

Output
Spin magnetization, μB/cell: 0.001
DOS(E_F), states/eV/cell: 8.05
Space-group type: Pm-3m

*Q*
Computed, not measured: a relaxed structure of BaZr3Ag at the PBE-GGA level of DFT.

The structure in extended XYZ format:
```
5
Lattice="5.347 0.000 0.000 0.000 5.347 0.000 0.000 0.000 5.347" Properties=species:S:1:pos:R:3 pbc="T T T"
Ba 0.000 0.000 0.000
Zr 0.000 2.673 2.673
Zr 2.673 0.000 2.673
Zr 2.673 2.673 0.000
Ag 2.673 2.673 2.673
```

Output
Spin magnetization, μB/cell: 0.000
DOS(E_F), states/eV/cell: 9.57
Space-group type: Pm-3m

Which of them is most stable? Easy: *Q*.